Record 1
Computed, not measured: TbGdHgRh after structural relaxation at the PBE level of DFT.

Cell: 5.088 5.088 5.088 Å, 60.00 60.00 60.00°
Last column: magnetic moment on the atom in μB.
Element x y z (fractional)
Rh1 0.000 0.000 0.000  -0.05
Gd1 0.750 0.750 0.750  7.01
Tb1 0.250 0.250 0.250  0.01
Hg1 0.500 0.500 0.500  0.00

total energy	-7.18	eV/atom

=====

Record 2
Computed, not measured: GdThHgRh after structural relaxation at the PBE level of DFT.

Cell: 5.181 5.181 5.181 Å, 60.00 60.00 60.00°
Last column: magnetic moment on the atom in μB.
Element x y z (fractional)
Gd1 0.250 0.250 0.250  7.05
Rh1 0.000 0.000 0.000  -0.03
Hg1 0.500 0.500 0.500  0.00
Th1 0.750 0.750 0.750  0.06

total energy	-7.75	eV/atom

=====

Record 3
Computed, not measured: GdYHgRh after structural relaxation at the PBE level of DFT.

Cell: 5.085 5.085 5.085 Å, 60.00 60.00 60.00°
Last column: magnetic moment on the atom in μB.
Element x y z (fractional)
Y1 0.750 0.750 0.750  0.01
Gd1 0.250 0.250 0.250  7.01
Rh1 0.000 0.000 0.000  -0.04
Hg1 0.500 0.500 0.500  0.00

total energy	-7.65	eV/atom

=====

Record 4
Computed, not measured: Gd2HgRu after structural relaxation at the PBE level of DFT.

Cell: 3.492 3.492 7.672 Å, 90.00 90.00 90.00°
Last column: magnetic moment on the atom in μB.
Element x y z (fractional)
Ru1 0.500 0.500 0.000  -0.16
Gd1 0.000 0.000 0.780  7.04
Gd2 0.000 0.000 0.220  7.04
Hg1 0.500 0.500 0.500  0.01

energy above the lowest structure with this stoichiometry	0.0	meV per atom

=====

Record 5
Computed, not measured: Gd2HgRu after structural relaxation at the PBE level of DFT.

Cell: 3.930 3.930 8.277 Å, 76.27 76.27 60.00°
Last column: magnetic moment on the atom in μB.
Element x y z (fractional)
Ru1 0.000 0.000 0.000  -0.11
Gd1 0.733 0.733 0.801  7.01
Gd2 0.267 0.267 0.199  7.01
Hg1 0.500 0.500 0.500  0.02

energy above the lowest structure with this stoichiometry	171.2	meV per atom

=====

Record 6
Computed, not measured: Gd2HgRu after structural relaxation at the PBE level of DFT.

Cell: 5.079 5.079 5.079 Å, 60.00 60.00 60.00°
Last column: magnetic moment on the atom in μB.
Element x y z (fractional)
Ru1 0.500 0.500 0.500  0.23
Gd1 0.250 0.250 0.250  -7.05
Gd2 0.750 0.750 0.750  -7.05
Hg1 0.000 0.000 0.000  -0.02

energy above the lowest structure with this stoichiometry	113.0	meV per atom

=====

Record 7
Computed, not measured: GdThHgRu after structural relaxation at the PBE level of DFT.

Cell: 5.160 5.160 5.160 Å, 60.00 60.00 60.00°
Last column: magnetic moment on the atom in μB.
Element x y z (fractional)
Ru1 0.750 0.750 0.750  -0.11
Gd1 0.000 0.000 0.000  7.01
Hg1 0.250 0.250 0.250  0.00
Th1 0.500 0.500 0.500  0.02

total energy	-8.04	eV/atom

=====

Record 8
Computed, not measured: GdYHgRu after structural relaxation at the PBE level of DFT.

Cell: 5.060 5.060 5.060 Å, 60.00 60.00 60.00°
Last column: magnetic moment on the atom in μB.
Element x y z (fractional)
Y1 0.500 0.500 0.500  0.03
Ru1 0.750 0.750 0.750  -0.11
Gd1 0.000 0.000 0.000  7.04
Hg1 0.250 0.250 0.250  0.01

total energy	-7.87	eV/atom

=====

Number 6 is which compound? Gd2HgRu

=====

What is the formula in the eighth record? GdYHgRu